(1)
VASP calculation (SCAN) on Ag3IrF at its PBEsol-relaxed geometry.

Cell lengths 4.965, 4.965, 4.965 Å; angles 90.00, 90.00, 90.00 degrees
Fractional positions:
Ir: 0.000 0.000 0.000
Ag: 0.000 0.500 0.000
Ag: 0.000 0.000 0.500
Ag: 0.500 0.000 0.000
F: 0.500 0.500 0.500

Properties
Space-group type ... No. 221


(2)
VASP calculation (SCAN) on AgIrF7 at its PBEsol-relaxed geometry.

Cell lengths 7.147, 7.715, 10.286 Å; angles 90.00, 90.00, 90.00 degrees
Fractional positions:
Ag: 0.750 0.853 0.242
Ag: 0.250 0.147 0.758
Ag: 0.250 0.647 0.742
Ag: 0.750 0.353 0.258
Ir: 0.750 0.689 0.557
Ir: 0.250 0.311 0.443
Ir: 0.750 0.189 0.943
Ir: 0.250 0.811 0.057
F: 0.250 0.591 0.130
F: 0.431 0.740 0.932
F: 0.067 0.887 0.179
F: 0.250 0.035 0.982
F: 0.931 0.260 0.068
F: 0.933 0.113 0.821
F: 0.567 0.113 0.821
F: 0.750 0.465 0.482
F: 0.069 0.240 0.568
F: 0.569 0.760 0.432
F: 0.750 0.100 0.309
F: 0.250 0.091 0.370
F: 0.250 0.535 0.518
F: 0.431 0.240 0.568
F: 0.750 0.409 0.870
F: 0.433 0.387 0.321
F: 0.250 0.400 0.809
F: 0.750 0.965 0.018
F: 0.933 0.613 0.679
F: 0.750 0.600 0.191
F: 0.067 0.387 0.321
F: 0.567 0.613 0.679
F: 0.069 0.740 0.932
F: 0.931 0.760 0.432
F: 0.433 0.887 0.179
F: 0.569 0.260 0.068
F: 0.250 0.900 0.691
F: 0.750 0.909 0.630

Properties
Space-group type ... No. 62


(3)
VASP calculation (SCAN) on AgIrF3 at its PBEsol-relaxed geometry.

Cell lengths 4.152, 4.152, 4.152 Å; angles 90.00, 90.00, 90.00 degrees
Fractional positions:
Ir: 0.000 0.000 0.000
Ag: 0.500 0.500 0.500
F: 0.000 0.500 0.000
F: 0.000 0.000 0.500
F: 0.500 0.000 0.000

Properties
Space-group type ... No. 221


(4)
VASP calculation (SCAN) on K2AgIrF6 at its PBEsol-relaxed geometry.

Cell lengths 6.104, 6.104, 6.104 Å; angles 60.00, 60.00, 60.00 degrees
Fractional positions:
K: 0.750 0.750 0.750
K: 0.250 0.250 0.250
Ag: 0.500 0.500 0.500
Ir: 0.000 0.000 0.000
F: 0.767 0.233 0.233
F: 0.767 0.767 0.233
F: 0.233 0.767 0.767
F: 0.767 0.233 0.767
F: 0.233 0.767 0.233
F: 0.233 0.233 0.767

Properties
Space-group type ... No. 225


One value per record, in order, for total DFT energy (no corrections): -2.404, -1.147, -1.713, -1.182 Ry/atom.
One value per record, in order, for formation energy from raw total energies: 1.04, -1.46, -0.69, -2.05 eV per atom.
One value per record, in order, for M_tot: 1.3, 8.4, 0.0, 0.2 μB per cell.